## NpPaZnO6 (PBE)

Data for NpPaZnO6 after structural relaxation.

Geometry as extended XYZ:
```
18
Lattice="-2.6063 -5.0929 -1.0232 5.4402 0.1220 2.0413 -3.0791 -0.0738 8.2103" Properties=species:S:1:pos:R:3 pbc="T T T"
O -1.2711 -1.7664 0.7464
Pa -2.2335 -3.4100 6.1560
O -0.0553 -3.3014 5.8713
O -0.0866 -0.0379 5.8889
O -1.6768 -1.7461 7.4822
Zn -1.5395 -0.0369 4.1051
O -0.1899 -1.7433 3.3570
O 1.0258 -3.2783 8.4820
O 1.4316 -3.2987 1.7461
O -0.1586 -5.0068 3.3394
O -1.1549 -5.0280 0.7606
O 2.5754 -1.6496 6.8728
Np -0.6939 -3.3730 2.0509
O 0.9097 -0.0167 8.4678
Zn 0.0000 0.0000 0.0000
Pa 1.9882 -1.6348 3.0724
Np 0.4487 -1.6717 7.1775
O -2.8206 -3.3951 2.3556
```

Computed properties:
The energy relative to the elements, uncorrected comes out at -2.598 eV/atom. The total energy is -8.54 eV/atom. Its crystal system is trigonal. Its spin magnetization is 2.00 μB/f.u. As for the volume: 256.51 Å³/cell. The space group is No. 163.